# 1
# LiTaMo2 meta-GGA SCAN single point on PBEsol structure
data_LiTaMo2
_chemical_formula_sum 'Li1 Ta1 Mo2'
_cell_length_a 2.615
_cell_length_b 2.615
_cell_length_c 9.474
_cell_angle_alpha 90.00
_cell_angle_beta 90.00
_cell_angle_gamma 90.00
_symmetry_space_group_name_H-M 'P 4 m m'
_symmetry_Int_Tables_number 99
_symmetry_space_group_name_Hall 'P 4 -2'
loop_
_atom_site_label
_atom_site_fract_x
_atom_site_fract_y
_atom_site_fract_z
_atom_site_occupancy
Li1 0.000 0.000 0.000 1
Ta1 0.500 0.500 0.735 1
Mo1 0.000 0.000 0.488 1
Mo2 0.500 0.500 0.246 1
# DFT formation energy: 1.61 eV/f.u.
# Crystal system: tetragonal
# Energy above the lowest structure with this stoichiometry: 89 meV per atom

***

# 2
# LiTc2Mo meta-GGA SCAN single point on PBEsol structure
data_LiTc2Mo
_chemical_formula_sum 'Li4 Tc8 Mo4'
_cell_length_a 6.016
_cell_length_b 6.016
_cell_length_c 6.016
_cell_angle_alpha 90.00
_cell_angle_beta 90.00
_cell_angle_gamma 90.00
_symmetry_space_group_name_H-M 'F -4 3 m'
_symmetry_Int_Tables_number 216
_symmetry_space_group_name_Hall 'F -4 2 3'
loop_
_atom_site_label
_atom_site_fract_x
_atom_site_fract_y
_atom_site_fract_z
_atom_site_occupancy
Li1 0.000 0.000 0.000 1
Tc1 0.000 0.000 0.500 1
Tc2 0.250 0.250 0.750 1
Mo1 0.250 0.250 0.250 1
# DFT formation energy: 0.93 eV/f.u.
# Crystal system: cubic
# Energy above the lowest structure with this stoichiometry: 35 meV per atom

***

# 3
# LiTc2Mo meta-GGA SCAN single point on PBEsol structure
data_LiTc2Mo
_chemical_formula_sum 'Li2 Tc4 Mo2'
_cell_length_a 3.031
_cell_length_b 4.346
_cell_length_c 8.421
_cell_angle_alpha 90.00
_cell_angle_beta 90.00
_cell_angle_gamma 90.00
_symmetry_space_group_name_H-M 'I m m m'
_symmetry_Int_Tables_number 71
_symmetry_space_group_name_Hall '-I 2 2'
loop_
_atom_site_label
_atom_site_fract_x
_atom_site_fract_y
_atom_site_fract_z
_atom_site_occupancy
Li1 0.000 0.000 0.000 1
Tc1 0.000 0.500 0.239 1
Mo1 0.000 0.000 0.500 1
# DFT formation energy: 0.79 eV/f.u.
# Crystal system: orthorhombic
# Energy above the lowest structure with this stoichiometry: 0 meV per atom

***

# 4
# LiTcMo2 meta-GGA SCAN single point on PBEsol structure
data_LiTcMo2
_chemical_formula_sum 'Li1 Tc1 Mo2'
_cell_length_a 2.589
_cell_length_b 4.363
_cell_length_c 5.119
_cell_angle_alpha 90.00
_cell_angle_beta 99.79
_cell_angle_gamma 90.00
_symmetry_space_group_name_H-M 'P 1 2/m 1'
_symmetry_Int_Tables_number 10
_symmetry_space_group_name_Hall '-P 2y'
loop_
_atom_site_label
_atom_site_fract_x
_atom_site_fract_y
_atom_site_fract_z
_atom_site_occupancy
Li1 0.000 0.000 0.000 1
Tc1 0.500 0.000 0.500 1
Mo1 0.245 0.500 0.750 1
# DFT formation energy: 0.92 eV/f.u.
# Crystal system: monoclinic
# Energy above the lowest structure with this stoichiometry: 0 meV per atom

***

# 5
# Li2TcMo meta-GGA SCAN single point on PBEsol structure
data_Li2TcMo
_chemical_formula_sum 'Li4 Tc2 Mo2'
_cell_length_a 3.105
_cell_length_b 3.891
_cell_length_c 9.388
_cell_angle_alpha 90.00
_cell_angle_beta 90.00
_cell_angle_gamma 90.00
_symmetry_space_group_name_H-M 'I m m m'
_symmetry_Int_Tables_number 71
_symmetry_space_group_name_Hall '-I 2 2'
loop_
_atom_site_label
_atom_site_fract_x
_atom_site_fract_y
_atom_site_fract_z
_atom_site_occupancy
Li1 0.000 0.000 0.247 1
Tc1 0.000 0.500 0.500 1
Mo1 0.000 0.500 0.000 1
# DFT formation energy: 1.18 eV/f.u.
# Crystal system: orthorhombic

***

# 6
# LiTc2Mo meta-GGA SCAN single point on PBEsol structure
data_LiTc2Mo
_chemical_formula_sum 'Li1 Tc2 Mo1'
_cell_length_a 3.130
_cell_length_b 3.130
_cell_length_c 5.499
_cell_angle_alpha 90.00
_cell_angle_beta 90.00
_cell_angle_gamma 90.00
_symmetry_space_group_name_H-M 'P 4/m m m'
_symmetry_Int_Tables_number 123
_symmetry_space_group_name_Hall '-P 4 2'
loop_
_atom_site_label
_atom_site_fract_x
_atom_site_fract_y
_atom_site_fract_z
_atom_site_occupancy
Li1 0.000 0.000 0.000 1
Tc1 0.500 0.500 0.231 1
Mo1 0.000 0.000 0.500 1
# DFT formation energy: 0.89 eV/f.u.
# Crystal system: tetragonal
# Energy above the lowest structure with this stoichiometry: 23 meV per atom

***

# 7
# LiTc2Mo meta-GGA SCAN single point on PBEsol structure
data_LiTc2Mo
_chemical_formula_sum 'Li2 Tc4 Mo2'
_cell_length_a 8.793
_cell_length_b 2.581
_cell_length_c 4.926
_cell_angle_alpha 90.00
_cell_angle_beta 92.31
_cell_angle_gamma 90.00
_symmetry_space_group_name_H-M 'C 1 m 1'
_symmetry_Int_Tables_number 8
_symmetry_space_group_name_Hall 'C -2y'
loop_
_atom_site_label
_atom_site_fract_x
_atom_site_fract_y
_atom_site_fract_z
_atom_site_occupancy
Li1 0.000 0.000 0.000 1
Tc1 0.002 0.500 0.506 1
Tc2 0.253 0.000 0.755 1
Mo1 0.249 0.500 0.243 1
# DFT formation energy: 1.30 eV/f.u.
# Crystal system: monoclinic
# Energy above the lowest structure with this stoichiometry: 126 meV per atom

***

# 8
# LiTcMo2 meta-GGA SCAN single point on PBEsol structure
data_LiTcMo2
_chemical_formula_sum 'Li1 Tc1 Mo2'
_cell_length_a 2.572
_cell_length_b 2.572
_cell_length_c 9.030
_cell_angle_alpha 90.00
_cell_angle_beta 90.00
_cell_angle_gamma 90.00
_symmetry_space_group_name_H-M 'P 4 m m'
_symmetry_Int_Tables_number 99
_symmetry_space_group_name_Hall 'P 4 -2'
loop_
_atom_site_label
_atom_site_fract_x
_atom_site_fract_y
_atom_site_fract_z
_atom_site_occupancy
Li1 0.000 0.000 0.000 1
Tc1 0.500 0.500 0.756 1
Mo1 0.000 0.000 0.513 1
Mo2 0.500 0.500 0.261 1
# DFT formation energy: 1.70 eV/f.u.
# Crystal system: tetragonal
# Energy above the lowest structure with this stoichiometry: 195 meV per atom

***

# 9
# LiTcMo2 meta-GGA SCAN single point on PBEsol structure
data_LiTcMo2
_chemical_formula_sum 'Li4 Tc4 Mo8'
_cell_length_a 6.073
_cell_length_b 6.073
_cell_length_c 6.073
_cell_angle_alpha 90.00
_cell_angle_beta 90.00
_cell_angle_gamma 90.00
_symmetry_space_group_name_H-M 'F -4 3 m'
_symmetry_Int_Tables_number 216
_symmetry_space_group_name_Hall 'F -4 2 3'
loop_
_atom_site_label
_atom_site_fract_x
_atom_site_fract_y
_atom_site_fract_z
_atom_site_occupancy
Li1 0.000 0.000 0.000 1
Tc1 0.250 0.250 0.250 1
Mo1 0.000 0.000 0.500 1
Mo2 0.250 0.250 0.750 1
# DFT formation energy: 1.23 eV/f.u.
# Crystal system: cubic
# Energy above the lowest structure with this stoichiometry: 78 meV per atom

***

# 10
# LiTe2Mo meta-GGA SCAN single point on PBEsol structure
data_LiTe2Mo
_chemical_formula_sum 'Li2 Te4 Mo2'
_cell_length_a 3.423
_cell_length_b 3.564
_cell_length_c 13.963
_cell_angle_alpha 90.00
_cell_angle_beta 90.00
_cell_angle_gamma 90.00
_symmetry_space_group_name_H-M 'I m m 2'
_symmetry_Int_Tables_number 44
_symmetry_space_group_name_Hall 'I 2 -2'
loop_
_atom_site_label
_atom_site_fract_x
_atom_site_fract_y
_atom_site_fract_z
_atom_site_occupancy
Li1 0.000 0.000 0.000 1
Te1 0.000 0.000 0.397 1
Te2 0.000 0.500 0.161 1
Mo1 0.000 0.500 0.749 1
# Formation energy (no corrections): -0.203 eV per atom
# Crystal system: orthorhombic
# Energy above the lowest structure with this stoichiometry: 0 meV per atom

***

# 11
# LiTe2Mo meta-GGA SCAN single point on PBEsol structure
data_LiTe2Mo
_chemical_formula_sum 'Li4 Te8 Mo4'
_cell_length_a 7.023
_cell_length_b 7.023
_cell_length_c 7.023
_cell_angle_alpha 90.00
_cell_angle_beta 90.00
_cell_angle_gamma 90.00
_symmetry_space_group_name_H-M 'F -4 3 m'
_symmetry_Int_Tables_number 216
_symmetry_space_group_name_Hall 'F -4 2 3'
loop_
_atom_site_label
_atom_site_fract_x
_atom_site_fract_y
_atom_site_fract_z
_atom_site_occupancy
Li1 0.000 0.000 0.000 1
Te1 0.000 0.000 0.500 1
Te2 0.250 0.250 0.250 1
Mo1 0.250 0.250 0.750 1
# Formation energy (no corrections): 0.547 eV per atom
# Crystal system: cubic
# Energy above the lowest structure with this stoichiometry: 750 meV per atom

***

# 12
# LiTeMo meta-GGA SCAN single point on PBEsol structure
data_LiTeMo
_chemical_formula_sum 'Li1 Te1 Mo1'
_cell_length_a 3.2435
_cell_length_b 3.2435
_cell_length_c 6.6331
_cell_angle_alpha 90.00
_cell_angle_beta 90.00
_cell_angle_gamma 120.00
_symmetry_space_group_name_H-M 'P 3 m 1'
_symmetry_Int_Tables_number 156
_symmetry_space_group_name_Hall 'P 3 -2"'
loop_
_atom_site_label
_atom_site_fract_x
_atom_site_fract_y
_atom_site_fract_z
_atom_site_occupancy
Li1 0.0000 0.0000 0.0000 1
Te1 0.6667 0.3333 0.3805 1
Mo1 0.3333 0.6667 0.6611 1
# Formation energy (no corrections): 0.301 eV per atom
# Crystal system: trigonal